An optimized crystal structure of LaSi2PtI, computed with PBEsol.

```
data_LaSi2PtI
_cell_length_a 5.522
_cell_length_b 5.522
_cell_length_c 5.811
_cell_angle_alpha 90.00
_cell_angle_beta 90.00
_cell_angle_gamma 90.00
_symmetry_space_group_name_H-M 'P 1'
_symmetry_Int_Tables_number 1
_symmetry_space_group_name_Hall 'P 1'
loop_
_atom_site_label
_atom_site_fract_x
_atom_site_fract_y
_atom_site_fract_z
Si1 0.500 0.000 0.000
Si2 0.000 0.500 0.000
La1 0.000 0.000 0.000
I1 0.000 0.000 0.500
Pt1 0.500 0.500 0.500
```

## Properties
crystal system	tetragonal
ΔE_f (raw)	1.543	eV per atom

---

An optimized crystal structure of SiAg2Ru, computed with PBEsol.

```
data_SiAg2Ru
_cell_length_a 2.780
_cell_length_b 2.780
_cell_length_c 8.619
_cell_angle_alpha 90.00
_cell_angle_beta 90.00
_cell_angle_gamma 113.90
_symmetry_space_group_name_H-M 'P 1'
_symmetry_Int_Tables_number 1
_symmetry_space_group_name_Hall 'P 1'
loop_
_atom_site_label
_atom_site_fract_x
_atom_site_fract_y
_atom_site_fract_z
Si1 0.500 0.500 0.271
Ag1 0.500 0.500 0.743
Ag2 0.000 0.000 0.017
Ru1 0.000 0.000 0.469
```

## Properties
crystal system	orthorhombic
ΔE_f (raw)	0.135	eV per atom

---

An optimized crystal structure of KFe2Rh, computed with PBEsol.

```
data_KFe2Rh
_cell_length_a 2.895
_cell_length_b 2.895
_cell_length_c 8.102
_cell_angle_alpha 90.00
_cell_angle_beta 90.00
_cell_angle_gamma 90.00
_symmetry_space_group_name_H-M 'P 1'
_symmetry_Int_Tables_number 1
_symmetry_space_group_name_Hall 'P 1'
loop_
_atom_site_label
_atom_site_fract_x
_atom_site_fract_y
_atom_site_fract_z
Rh1 0.500 0.500 0.826
Fe1 0.000 0.000 0.004
Fe2 0.500 0.500 0.160
K1 0.000 0.000 0.510
```

## Properties
crystal system	tetragonal
formation energy	0.6183	eV per atom

---

An optimized crystal structure of NbPd3Rh, computed with PBEsol.

```
data_NbPd3Rh
_cell_length_a 4.643
_cell_length_b 4.643
_cell_length_c 4.643
_cell_angle_alpha 90.00
_cell_angle_beta 90.00
_cell_angle_gamma 90.00
_symmetry_space_group_name_H-M 'P 1'
_symmetry_Int_Tables_number 1
_symmetry_space_group_name_Hall 'P 1'
loop_
_atom_site_label
_atom_site_fract_x
_atom_site_fract_y
_atom_site_fract_z
Nb1 0.500 0.500 0.500
Rh1 0.000 0.000 0.000
Pd1 0.000 0.000 0.500
Pd2 0.500 0.000 0.000
Pd3 0.000 0.500 0.000
```

## Properties
crystal system	cubic
formation energy	1.4494	eV per atom

---

An optimized crystal structure of ScTl, computed with PBEsol.

```
data_ScTl
_cell_length_a 3.673
_cell_length_b 4.718
_cell_length_c 6.049
_cell_angle_alpha 112.95
_cell_angle_beta 107.67
_cell_angle_gamma 90.00
_symmetry_space_group_name_H-M 'P 1'
_symmetry_Int_Tables_number 1
_symmetry_space_group_name_Hall 'P 1'
loop_
_atom_site_label
_atom_site_fract_x
_atom_site_fract_y
_atom_site_fract_z
Tl1 0.630 0.880 0.259
Tl2 0.370 0.120 0.741
Sc1 0.876 0.626 0.751
Sc2 0.124 0.374 0.249
```

## Properties
crystal system	orthorhombic
formation energy	-0.3040	eV per atom

---

An optimized crystal structure of BeAlIrS2, computed with PBEsol.

```
data_BeAlIrS2
_cell_length_a 4.626
_cell_length_b 4.626
_cell_length_c 4.708
_cell_angle_alpha 90.00
_cell_angle_beta 90.00
_cell_angle_gamma 90.00
_symmetry_space_group_name_H-M 'P 1'
_symmetry_Int_Tables_number 1
_symmetry_space_group_name_Hall 'P 1'
loop_
_atom_site_label
_atom_site_fract_x
_atom_site_fract_y
_atom_site_fract_z
S1 0.500 0.000 0.000
S2 0.000 0.500 0.000
Al1 0.000 0.000 0.500
Be1 0.500 0.500 0.500
Ir1 0.000 0.000 0.000
```

## Properties
crystal system	tetragonal
ΔE_f (raw)	0.818	eV per atom

---

An optimized crystal structure of MnFeNi2Pt, computed with PBEsol.

```
data_MnFeNi2Pt
_cell_length_a 3.969
_cell_length_b 4.163
_cell_length_c 4.163
_cell_angle_alpha 90.00
_cell_angle_beta 90.00
_cell_angle_gamma 90.00
_symmetry_space_group_name_H-M 'P 1'
_symmetry_Int_Tables_number 1
_symmetry_space_group_name_Hall 'P 1'
loop_
_atom_site_label
_atom_site_fract_x
_atom_site_fract_y
_atom_site_fract_z
Ni1 0.000 0.500 0.000
Ni2 0.000 0.000 0.500
Fe1 0.000 0.000 0.000
Pt1 0.500 0.500 0.500
Mn1 0.500 0.000 0.000
```

## Properties
crystal system	tetragonal
formation energy	1.0596	eV per atom

---

An optimized crystal structure of BaCdOs3, computed with PBEsol.

```
data_BaCdOs3
_cell_length_a 4.979
_cell_length_b 4.979
_cell_length_c 4.979
_cell_angle_alpha 90.00
_cell_angle_beta 90.00
_cell_angle_gamma 90.00
_symmetry_space_group_name_H-M 'P 1'
_symmetry_Int_Tables_number 1
_symmetry_space_group_name_Hall 'P 1'
loop_
_atom_site_label
_atom_site_fract_x
_atom_site_fract_y
_atom_site_fract_z
Os1 0.000 0.000 0.500
Os2 0.000 0.500 0.000
Os3 0.500 0.000 0.000
Cd1 0.500 0.500 0.500
Ba1 0.000 0.000 0.000
```

## Properties
crystal system	cubic
formation energy	3.6856	eV per atom

---

An optimized crystal structure of CaZnNi2P, computed with PBEsol.

```
data_CaZnNi2P
_cell_length_a 4.208
_cell_length_b 4.208
_cell_length_c 5.294
_cell_angle_alpha 90.00
_cell_angle_beta 90.00
_cell_angle_gamma 90.00
_symmetry_space_group_name_H-M 'P 1'
_symmetry_Int_Tables_number 1
_symmetry_space_group_name_Hall 'P 1'
loop_
_atom_site_label
_atom_site_fract_x
_atom_site_fract_y
_atom_site_fract_z
Ca1 0.000 0.000 0.500
Zn1 0.500 0.500 0.500
Ni1 0.000 0.500 0.000
Ni2 0.500 0.000 0.000
P1 0.000 0.000 0.000
```

## Properties
crystal system	tetragonal
formation energy	0.0379	eV per atom

---

An optimized crystal structure of MnSiP2, computed with PBEsol.

```
data_MnSiP2
_cell_length_a 3.407
_cell_length_b 3.408
_cell_length_c 4.923
_cell_angle_alpha 89.96
_cell_angle_beta 90.00
_cell_angle_gamma 90.00
_symmetry_space_group_name_H-M 'P 1'
_symmetry_Int_Tables_number 1
_symmetry_space_group_name_Hall 'P 1'
loop_
_atom_site_label
_atom_site_fract_x
_atom_site_fract_y
_atom_site_fract_z
Si1 0.000 0.993 0.394
P1 0.500 0.496 0.363
P2 0.000 0.005 0.877
Mn1 0.500 0.505 0.867
```

## Properties
crystal system	monoclinic
ΔE_f (raw)	-0.092	eV per atom

---

An optimized crystal structure of Ca2TaSe, computed with PBEsol.

```
data_Ca2TaSe
_cell_length_a 3.420
_cell_length_b 4.905
_cell_length_c 6.194
_cell_angle_alpha 113.32
_cell_angle_beta 106.03
_cell_angle_gamma 90.00
_symmetry_space_group_name_H-M 'P 1'
_symmetry_Int_Tables_number 1
_symmetry_space_group_name_Hall 'P 1'
loop_
_atom_site_label
_atom_site_fract_x
_atom_site_fract_y
_atom_site_fract_z
Se1 0.500 0.000 0.000
Ta1 0.000 0.500 0.000
Ca1 0.796 0.796 0.591
Ca2 0.204 0.204 0.409
```

## Properties
crystal system	orthorhombic
ΔE_f (raw)	0.180	eV per atom

---

An optimized crystal structure of ReTc2W2, computed with PBEsol.

```
data_ReTc2W2
_cell_length_a 3.285
_cell_length_b 3.285
_cell_length_c 7.821
_cell_angle_alpha 102.12
_cell_angle_beta 102.12
_cell_angle_gamma 90.00
_symmetry_space_group_name_H-M 'P 1'
_symmetry_Int_Tables_number 1
_symmetry_space_group_name_Hall 'P 1'
loop_
_atom_site_label
_atom_site_fract_x
_atom_site_fract_y
_atom_site_fract_z
W1 0.598 0.598 0.196
W2 0.402 0.402 0.804
Re1 0.000 0.000 0.000
Tc1 0.750 0.250 0.500
Tc2 0.250 0.750 0.500
```

## Properties
crystal system	tetragonal
formation energy	0.7831	eV per atom